Computed, not measured: a geometry-optimized Cs5IrO6 structure at the PBE level of DFT.

Magnetization: 0.1687 μB per atom
E_form (uncorrected): -13.4 eV/f.u.
D(E_F): 8.00 states/eV/f.u.
SG: No. 12

a b c (Å): 7.083 7.083 6.790
angles (deg): 99.89 99.89 120.35
Fractional coordinates of all 12 atoms:
Cs 0.000 0.000 0.000
Cs 0.168 0.832 0.500
Cs 0.341 0.659 0.000
Cs 0.659 0.341 0.000
Cs 0.832 0.168 0.500
Ir 0.500 0.500 0.500
O 0.215 0.439 0.322
O 0.332 0.332 0.680
O 0.439 0.215 0.322
O 0.561 0.785 0.678
O 0.668 0.668 0.320
O 0.785 0.561 0.678